# 1
Pm6DyEr2Mg: relaxed, GGA-PBE.

Values from the calculation:
DFT formation energy: 0.120 eV/atom

The structure in POSCAR format:
```
Pm6DyEr2Mg
1.0
4.6388 -7.5430 0.0000
4.6388 7.5430 0.0000
-0.9697 0.0000 9.3320
Pm Dy Er Mg
12 2 4 2
direct
0.0016 0.4360 0.8039
0.1262 0.7710 0.5518
0.2290 0.8738 0.9482
0.2904 0.5042 0.3923
0.4360 0.0016 0.3039
0.4958 0.7096 0.1077
0.5042 0.2904 0.8923
0.5640 0.9984 0.6961
0.7096 0.4958 0.6077
0.7710 0.1262 0.0518
0.8738 0.2290 0.4482
0.9984 0.5640 0.1961
0.0254 0.9746 0.2500
0.9746 0.0254 0.7500
0.2023 0.3056 0.0519
0.3056 0.2023 0.5519
0.6944 0.7977 0.4481
0.7977 0.6944 0.9481
0.4142 0.5858 0.7500
0.5858 0.4142 0.2500
```



# 2
Pm2Dy2ErMg5: relaxed, GGA-PBE.

Values from the calculation:
DFT formation energy: 0.044 eV/atom

The structure in POSCAR format:
```
Pm2Dy2ErMg5
1.0
10.5953 0.0000 0.0000
0.0000 10.5953 0.0000
0.0000 0.0000 5.0728
Pm Dy Er Mg
4 4 2 10
direct
0.1772 0.3228 0.0000
0.3228 0.8228 0.0000
0.6772 0.1772 0.0000
0.8228 0.6772 0.0000
0.1201 0.6201 0.0000
0.3799 0.1201 0.0000
0.6201 0.8799 0.0000
0.8799 0.3799 0.0000
0.0000 0.0000 0.0000
0.5000 0.5000 0.0000
0.0000 0.5000 0.5000
0.0682 0.8026 0.5000
0.1974 0.0682 0.5000
0.3026 0.5682 0.5000
0.4318 0.3026 0.5000
0.5000 0.0000 0.5000
0.5682 0.6974 0.5000
0.6974 0.4318 0.5000
0.8026 0.9318 0.5000
0.9318 0.1974 0.5000
```



# 3
Pr6Dy2Er3Mg: relaxed, GGA-PBE.

Values from the calculation:
DFT formation energy: 0.022 eV/atom

The structure in POSCAR format:
```
Pr6Dy2Er3Mg
1.0
3.1277 -5.4199 0.0000
3.1277 5.4199 0.0000
-2.0906 0.0000 11.6181
Pr Dy Er Mg
6 2 3 1
direct
0.0828 0.4153 0.2498
0.2496 0.2496 0.7493
0.4153 0.0828 0.2498
0.5847 0.9172 0.7502
0.7504 0.7504 0.2507
0.9172 0.5847 0.7502
0.3332 0.6668 0.0000
0.6668 0.3332 0.0000
0.1666 0.8334 0.5000
0.5000 0.5000 0.5000
0.8334 0.1666 0.5000
0.0000 0.0000 0.0000
```



# 4
DyEr2MgRh4: relaxed, GGA-PBE.

Values from the calculation:
DFT formation energy: -0.844 eV/atom

The structure in POSCAR format:
```
DyEr2MgRh4
1.0
2.3586 1.3618 7.7260
-2.3586 1.3618 7.7260
0.0000 -2.7235 7.7260
Dy Er Mg Rh
1 2 1 4
direct
0.0000 0.0000 0.0000
0.2447 0.2447 0.2447
0.7553 0.7553 0.7553
0.5000 0.5000 0.5000
0.1249 0.1249 0.1249
0.3764 0.3764 0.3764
0.6236 0.6236 0.6236
0.8751 0.8751 0.8751
```